(1)
Compound: HoTmCd2
Source: Alexandria
Functional: PBE-GGA
Structure: optimized geometry

a = 3.7421 Å, b = 5.2278 Å, c = 5.2278 Å
α = 90.00°, β = 90.00°, γ = 90.00°
Sites, in units of the cell vectors:
1 Cd 0.0000 0.5000 0.0000
2 Tm 0.5000 0.0000 0.0000
3 Ho 0.5000 0.5000 0.5000
4 Cd 0.0000 0.0000 0.5000

Calculated values
Polymorph energy (0 for the lowest one) ... 3 meV per atom
Uncorrected energy ... -12.14 eV/cell
Space group ... P4/mmm (123)
ΔE_f ... -0.3151 eV/atom
Density of states at the Fermi level ... 3.5 states/eV per cell

---

(2)
Compound: Dy2SeCl
Source: Alexandria
Functional: PBE-GGA
Structure: optimized geometry

a = 3.7370 Å, b = 3.7370 Å, c = 8.1253 Å
α = 76.71°, β = 76.71°, γ = 60.00°
Each line ends with the local moment (μB).
Sites, in units of the cell vectors:
1 Dy 0.0779 0.0779 0.7663  0.09
2 Se 0.6658 0.6658 0.0026  0.01
3 Cl 0.5006 0.5006 0.4983  0.00
4 Dy 0.2557 0.2557 0.2328  0.15

Calculated values
Energy relative to the elements, uncorrected ... -1398 meV/atom
Polymorph energy (0 for the lowest one) ... 0 meV per atom
Uncorrected energy ... -20.13 eV/cell
Space group ... R3m (160)
Density of states at the Fermi level ... 3.5 states/eV per cell

---

(3)
Compound: TmHg2F8
Source: Alexandria
Functional: PBE-GGA
Structure: optimized geometry

a = 4.4331 Å, b = 6.9854 Å, c = 6.9847 Å
α = 120.01°, β = 90.00°, γ = 90.00°
Sites, in units of the cell vectors:
1 F 0.2531 0.1520 0.8494
2 F 0.7469 0.8480 0.1506
3 F 0.2434 0.6667 0.3332
4 F 0.7469 0.3026 0.1520
5 F 0.2531 0.6974 0.8480
6 F 0.7566 0.3333 0.6667
7 Hg 0.2568 0.3333 0.6667
8 Hg 0.7432 0.6667 0.3333
9 Tm 0.0000 0.0000 0.0000
10 F 0.7469 0.8493 0.6973
11 F 0.2531 0.1506 0.3026

Calculated values
Energy relative to the elements, uncorrected ... -2205 meV/atom
Uncorrected energy ... -44.30 eV/cell
Space group ... P-3 (147)
Density of states at the Fermi level ... 4.3 states/eV per cell